## 1
First-principles (PBE) data for a relaxed structure of WBr5, as listed in Alexandria via LeMat-Bulk.

abc: 7.885 7.885 11.406
angles: 128.56 128.56 22.73
Atoms (fractional coordinates):
W1 0.000 0.000 0.000
Br1 0.000 0.000 0.500
Br2 0.318 0.318 0.825
Br3 0.483 0.483 0.176
Br4 0.517 0.517 0.824
Br5 0.682 0.682 0.175

Crystal system   monoclinic

## 2
First-principles (PBE) data for a relaxed structure of WBr5, as listed in Alexandria via LeMat-Bulk.

abc: 5.414 5.414 8.257
angles: 90.00 90.00 120.00
Atoms (fractional coordinates):
W1 0.000 0.000 0.000
Br1 0.000 0.500 0.500
Br2 0.333 0.667 0.000
Br3 0.500 0.000 0.500
Br4 0.500 0.500 0.500
Br5 0.667 0.333 0.000

Crystal system   hexagonal

Quick look at relative energies in eV/atom: 1 0.000; 2 0.920.